The following is a GGA-PBE calculation of a relaxed KAsRu2 crystal, from Alexandria via LeMat-Bulk.

a = 2.9573 Å, b = 4.7624 Å, c = 5.0270 Å
α = 90.00°, β = 90.00°, γ = 90.00°
Element x y z (fractional)
K 0.0000 0.0000 0.0000
As 0.5000 0.0000 0.5000
Ru 0.0000 0.5000 0.5000
Ru 0.5000 0.5000 0.0000

final energy: -4.97 eV/atom
energy relative to the elements: 1.101 eV/atom

***

The following is a GGA-PBE calculation of a relaxed Ta2CrBPt crystal, from Alexandria via LeMat-Bulk.

a = 4.8489 Å, b = 4.8489 Å, c = 4.4832 Å
α = 90.00°, β = 90.00°, γ = 90.00°
Element x y z (fractional)
Ta 0.0000 0.5000 0.0000
Ta 0.5000 0.0000 0.0000
Cr 0.0000 0.0000 0.5000
B 0.5000 0.5000 0.5000
Pt 0.0000 0.0000 0.0000

final energy: -7.10 eV/atom
energy relative to the elements: 2.105 eV/atom

***

The following is a GGA-PBE calculation of a relaxed La4ErTm5 crystal, from Alexandria via LeMat-Bulk.

a = 8.1861 Å, b = 8.1861 Å, c = 8.1861 Å
α = 97.56°, β = 97.56°, γ = 137.47°
Element x y z (fractional)
La 0.0000 0.3212 0.3212
La 0.0000 0.6788 0.6788
La 0.3212 0.0000 0.3212
La 0.6788 0.0000 0.6788
Er 0.7570 0.7570 0.0000
Tm 0.2408 0.2408 0.0000
Tm 0.3099 0.3099 0.6237
Tm 0.3099 0.6862 0.0000
Tm 0.6862 0.3099 0.0000
Tm 0.6862 0.6862 0.3763

final energy: -4.43 eV/atom
energy relative to the elements: 0.229 eV/atom

***

The following is a GGA-PBE calculation of a relaxed Er4As6Rh7 crystal, from Alexandria via LeMat-Bulk.

a = 7.2483 Å, b = 7.2483 Å, c = 7.2483 Å
α = 109.47°, β = 109.47°, γ = 109.47°
Element x y z (fractional)
Er 0.0000 0.0000 0.5000
Er 0.0000 0.5000 0.0000
Er 0.5000 0.0000 0.0000
Er 0.5000 0.5000 0.5000
As 0.0000 0.3176 0.3176
As 0.0000 0.6824 0.6824
As 0.3176 0.0000 0.3176
As 0.3176 0.3176 0.0000
As 0.6824 0.0000 0.6824
As 0.6824 0.6824 0.0000
Rh 0.0000 0.0000 0.0000
Rh 0.2500 0.5000 0.7500
Rh 0.2500 0.7500 0.5000
Rh 0.5000 0.2500 0.7500
Rh 0.5000 0.7500 0.2500
Rh 0.7500 0.2500 0.5000
Rh 0.7500 0.5000 0.2500

final energy: -6.76 eV/atom
energy relative to the elements: -1.019 eV/atom

***

The following is a GGA-PBE calculation of a relaxed MgHg2P crystal, from Alexandria via LeMat-Bulk.

a = 4.0663 Å, b = 4.0663 Å, c = 5.1632 Å
α = 90.00°, β = 90.00°, γ = 90.00°
Element x y z (fractional)
Mg 0.0000 0.0000 0.0000
Hg 0.0000 0.5000 0.5000
Hg 0.5000 0.0000 0.5000
P 0.5000 0.5000 0.0000

final energy: -1.81 eV/atom
energy relative to the elements: 0.090 eV/atom

***

The following is a GGA-PBE calculation of a relaxed Na2ICl4 crystal, from Alexandria via LeMat-Bulk.

a = 6.3113 Å, b = 6.3113 Å, c = 6.3113 Å
α = 110.55°, β = 110.55°, γ = 107.34°
Element x y z (fractional)
Na 0.2500 0.7500 0.5000
Na 0.7500 0.2500 0.5000
I 0.0000 0.0000 0.0000
Cl 0.2685 0.2685 0.5369
Cl 0.2685 0.7315 0.0000
Cl 0.7315 0.2685 0.0000
Cl 0.7315 0.7315 0.4631

final energy: -2.54 eV/atom

***

The following is a GGA-PBE calculation of a relaxed KHfAgBr6 crystal, from Alexandria via LeMat-Bulk.

a = 7.2851 Å, b = 7.2851 Å, c = 14.1284 Å
α = 90.00°, β = 90.00°, γ = 120.00°
Element x y z (fractional)
K 0.0000 0.0000 0.0000
K 0.0000 0.0000 0.5000
Hf 0.3333 0.6667 0.2500
Hf 0.6667 0.3333 0.7500
Ag 0.3333 0.6667 0.7500
Ag 0.6667 0.3333 0.2500
Br 0.0295 0.3850 0.1413
Br 0.0295 0.6445 0.3587
Br 0.3555 0.3850 0.3587
Br 0.3555 0.9705 0.1413
Br 0.3850 0.0295 0.6413
Br 0.3850 0.3555 0.8587
Br 0.6150 0.6445 0.1413
Br 0.6150 0.9705 0.3587
Br 0.6445 0.0295 0.8587
Br 0.6445 0.6150 0.6413
Br 0.9705 0.3555 0.6413
Br 0.9705 0.6150 0.8587

final energy: -3.91 eV/atom

***

The following is a GGA-PBE calculation of a relaxed LaMg3Hg crystal, from Alexandria via LeMat-Bulk.

a = 6.4678 Å, b = 6.4678 Å, c = 6.4678 Å
α = 90.00°, β = 90.00°, γ = 90.00°
Element x y z (fractional)
La 0.0000 0.0000 0.0000
Mg 0.0000 0.0000 0.5000
Mg 0.0000 0.5000 0.0000
Mg 0.5000 0.0000 0.0000
Hg 0.5000 0.5000 0.5000

final energy: -1.03 eV/atom
energy relative to the elements: 0.969 eV/atom

***

Q: What is the formula in the fifth record?
A: MgHg2P